Record 1
Here is a relaxed IrOsSe2 crystal from Alexandria. Energies are from PBE.

Computed properties:
**Raw formation energy**: 0.840 eV/atom
**Fermi-level density of states**: 0.850 states/eV/atom
**E**: -5.925 eV per atom
**Total magnetization**: 0.0 μB/f.u.
**Relative energy among the computed polymorphs**: 0.694 eV/atom

Cell: 4.4949 2.8010 5.2147 Å, 94.35 90.00 90.00°
Element x y z (fractional)
Ir: 0.5000 0.2500 0.2500
Os: 0.5000 0.7500 0.7500
Se: 0.0000 0.9233 0.0018
Se: 0.0000 0.5767 0.4982



Record 2
Here is a relaxed IrOs2Se crystal from Alexandria. Energies are from PBE.

Computed properties:
**Raw formation energy**: 0.565 eV/atom
**Fermi-level density of states**: 0.485 states/eV/atom
**E**: -8.137 eV per atom
**Total magnetization**: 0.0 μB/f.u.

Cell: 2.8187 3.7535 5.7842 Å, 90.00 90.00 90.00°
Element x y z (fractional)
Ir: 0.5000 0.5000 0.7660
Os: 0.0000 0.0000 0.0135
Os: 0.5000 0.5000 0.2281
Se: 0.0000 0.0000 0.4924



Record 3
Here is a relaxed IrOsSe2 crystal from Alexandria. Energies are from PBE.

Computed properties:
**Raw formation energy**: 0.608 eV/atom
**Fermi-level density of states**: 1.066 states/eV/atom
**E**: -6.157 eV per atom
**Total magnetization**: 0.0 μB/f.u.
**Relative energy among the computed polymorphs**: 0.462 eV/atom

Cell: 2.8746 2.8746 10.1782 Å, 90.00 90.00 121.83°
Element x y z (fractional)
Ir: 0.0000 0.0000 0.5164
Os: 0.5000 0.5000 0.7377
Se: 0.0000 0.0000 0.9525
Se: 0.5000 0.5000 0.2935



Record 4
Here is a relaxed Ir2OsSe crystal from Alexandria. Energies are from PBE.

Computed properties:
**Raw formation energy**: 0.360 eV/atom
**Fermi-level density of states**: 0.739 states/eV/atom
**E**: -7.750 eV per atom
**Total magnetization**: 0.0 μB/f.u.

Cell: 8.8297 8.8297 8.8297 Å, 18.48 18.48 18.48°
Element x y z (fractional)
Ir: 0.0004 0.0004 0.0004
Ir: 0.4996 0.4996 0.4996
Os: 0.7500 0.7500 0.7500
Se: 0.2500 0.2500 0.2500



Record 5
Here is a relaxed IrOsSe2 crystal from Alexandria. Energies are from PBE.

Computed properties:
**Raw formation energy**: 0.857 eV/atom
**Fermi-level density of states**: 0.960 states/eV/atom
**E**: -5.908 eV per atom
**Total magnetization**: 0.0 μB/f.u.
**Relative energy among the computed polymorphs**: 0.711 eV/atom

Cell: 2.8754 2.8754 9.0430 Å, 90.00 90.00 119.88°
Element x y z (fractional)
Ir: 0.5000 0.5000 0.2500
Os: 0.5000 0.5000 0.7500
Se: 0.0000 0.0000 0.9947
Se: 0.0000 0.0000 0.5053



Record 6
Here is a relaxed IrOsSe3 crystal from Alexandria. Energies are from PBE.

Computed properties:
**Raw formation energy**: 1.371 eV/atom
**Fermi-level density of states**: 1.410 states/eV/atom
**E**: -4.738 eV per atom
**Total magnetization**: 0.0 μB/f.u.
**Relative energy among the computed polymorphs**: 0.000 eV/atom

Cell: 4.7820 4.7820 4.7820 Å, 90.00 90.00 90.00°
Element x y z (fractional)
Ir: 0.5000 0.5000 0.5000
Os: 0.0000 0.0000 0.0000
Se: 0.0000 0.5000 0.0000
Se: 0.0000 0.0000 0.5000
Se: 0.5000 0.0000 0.0000



Q: Among the records above, which one has the lowest raw formation energy?
A: Ir2OsSe